{
  "formula": "Pa2Te2P",
  "functional": "PBE",
  "state": "relaxed",
  "lattice": [[3.975, 0.000, 0.000], [0.000, 6.099, 0.000], [0.000, 0.000, 12.450]],
  "species": ["Pa", "Pa", "Pa", "Pa", "Te", "Te", "Te", "Te", "P", "P"],
  "fractional_positions": [[0.000, 0.000, 0.152], [0.000, 0.000, 0.848], [0.500, 0.500, 0.348], [0.500, 0.500, 0.652], [0.000, 0.500, 0.154], [0.000, 0.500, 0.846], [0.500, 0.000, 0.346], [0.500, 0.000, 0.654], [0.000, 0.500, 0.500], [0.500, 0.000, 0.000]],
  "mass_density_g_cm3": 8.23,
  "polymorph_energy_mev_per_atom": 47,
  "raw_formation_energy_ev_per_atom": -0.8035
}